Computed, not measured: an optimized crystal structure of Be2NiOs at the PBE-GGA level of DFT.

DFT formation energy = -0.0339 eV/atom

Cell lengths 7.4272, 7.4272, 7.4272 Å; angles 20.42, 20.42, 20.42 degrees
Last column: nearest neighbours and their distance in Å.
Fractional coordinates of all 4 atoms:
1 Ni 0.2500 0.2500 0.2500  6 Be 2.31
2 Os 0.7500 0.7500 0.7500  6 Be 2.43, 6 Os 2.63
3 Be 0.9963 0.9963 0.9963  3 Ni 2.31, 3 Os 2.43
4 Be 0.5037 0.5037 0.5037  3 Ni 2.31, 3 Os 2.43